NaGeAu | PBE-GGA | relaxed

Results
SG: No. 187
Calculated total energy (eV/atom): -3.093

a = 4.5460 Å, b = 4.5461 Å, c = 7.6411 Å
α = 90.00°, β = 90.00°, γ = 60.00°
Positions (direct):
Au: 0.8216 0.2273 0.7891
Au: 0.4882 0.8941 0.2891
Na: 0.1550 0.5607 0.5832
Ge: 0.8215 0.2275 0.4491
Ge: 0.8215 0.2275 0.1291
Na: 0.1549 0.5607 0.9950